Entry from Alexandria: a relaxed Na2MnF6 crystal (GGA+U).

The structure in POSCAR format:
```
Na2MnF6
1.0
5.577 0.000 0.000
0.000 5.741 0.000
-4.959 0.000 8.230
Na Mn F
4 2 12
direct
0.195 0.064 0.229 Na
0.195 0.436 0.729 Na
0.805 0.564 0.271 Na
0.805 0.936 0.771 Na
0.500 0.000 0.000 Mn
0.500 0.500 0.500 Mn
0.194 0.179 0.958 F
0.194 0.321 0.458 F
0.256 0.744 0.393 F
0.256 0.756 0.893 F
0.462 0.101 0.807 F
0.462 0.399 0.307 F
0.538 0.601 0.693 F
0.538 0.899 0.193 F
0.744 0.244 0.107 F
0.744 0.256 0.607 F
0.806 0.679 0.542 F
0.806 0.821 0.042 F
```

Properties
Magnetic moment, μB/f.u.: 3.16
Total DFT energy (no corrections), eV/atom: -4.908
Crystal system: monoclinic
DOS at the Fermi energy, states/eV/f.u.: 0.00